CrBMoO5 after structural relaxation. Source: the Alexandria database, functional GGA+U.

E (eV per atom): -7.623

Cell lengths 5.1334, 5.1334, 6.8021 Å; angles 104.13, 104.13, 104.90 degrees
Positions (direct):
Cr 0.0000 0.0000 0.0000
Cr 0.0000 0.0000 0.5000
B 0.3315 0.6685 0.7500
B 0.6685 0.3315 0.2500
Mo 0.3325 0.6675 0.2500
Mo 0.6675 0.3325 0.7500
O 0.0985 0.9015 0.2500
O 0.1168 0.6619 0.8697
O 0.2852 0.3883 0.5941
O 0.3382 0.8832 0.6303
O 0.3883 0.2852 0.0941
O 0.6117 0.7148 0.9059
O 0.6619 0.1168 0.3697
O 0.7148 0.6117 0.4059
O 0.8832 0.3382 0.1303
O 0.9015 0.0985 0.7500